1.
## Li3Mg4Ga2 (PBE)

Data for a relaxed structure of Li3Mg4Ga2.

The formation energy from the elements is -0.181 eV per atom. As for the calculated density: 2.6 g cm⁻³. As for the size of the total moment: 0.00 μB per formula unit. The calculation puts the total energy at -2.201 eV/atom.

The structure belongs to space group P-3m1 (No. 164); the cell edges are 4.6855, 4.6855 and 8.7602 Å and the angles 90.00°, 90.00° and 120.00°. The asymmetric unit holds Li at (0.0000, 0.0000, 0.0000), Li at (0.3333, 0.6667, 0.4625), Mg at (0.0000, 0.0000, 0.3268), Mg at (0.3333, 0.6667, 0.1141) and Ga at (0.3333, 0.6667, 0.7808).

=====

2.
## LiMg6Ga (PBE)

Data for a relaxed structure of LiMg6Ga.

The formation energy from the elements is 0.077 eV per atom. As for the calculated density: 1.9 g cm⁻³. For the relative energy among the computed polymorphs, the calculation gives 1.09 eV per formula unit. As for the size of the total moment: 0.00 μB per formula unit. The calculation puts the total energy at -1.736 eV/atom.

The structure belongs to space group C2/m (No. 12); the cell edges are 8.1619, 6.0549 and 8.1406 Å and the angles 90.00°, 108.96° and 90.00°. The asymmetric unit holds Li at (0.0000, 0.0000, 0.0000), Mg at (0.1477, 0.0000, 0.4358), Mg at (0.1809, 0.2490, 0.8014) and Ga at (0.0000, 0.5000, 0.5000).

=====

3.
## Li15Mg6Ga (PBE)

Data for a relaxed structure of Li15Mg6Ga.

The formation energy from the elements is 0.017 eV per atom. As for the calculated density: 1.2 g cm⁻³. As for the size of the total moment: 0.00 μB per formula unit. The calculation puts the total energy at -1.860 eV/atom.

The structure belongs to space group C2/m (No. 12); the cell edges are 9.0576, 20.6079 and 5.2974 Å and the angles 90.00°, 115.12° and 90.00°. The asymmetric unit holds Li at (0.0000, 0.0000, 0.0000), Li at (0.0000, 0.1364, 0.0000), Li at (0.0863, 0.2636, 0.3410), Li at (0.1659, 0.0000, 0.7475), Li at (0.1924, 0.1270, 0.5668), Li at (0.2500, 0.2500, 0.0000), Mg at (0.1060, 0.3789, 0.8266), Mg at (0.1800, 0.5000, 0.5991) and Ga at (0.0000, 0.5000, 0.0000).

=====

4.
## Li2Mg2Ga (PBE)

Data for a relaxed structure of Li2Mg2Ga.

The formation energy from the elements is -0.009 eV per atom. As for the calculated density: 2.2 g cm⁻³. For the relative energy among the computed polymorphs, the calculation gives 0.72 eV per formula unit. As for the size of the total moment: 0.00 μB per formula unit. The calculation puts the total energy at -2.017 eV/atom.

The structure belongs to space group P4/mbm (No. 127); the cell edges are 7.3594, 7.3594 and 3.6881 Å and the angles 90.00°, 90.00° and 90.00°. The asymmetric unit holds Li at (0.1575, 0.3425, 0.0000), Mg at (0.1438, 0.6438, 0.5000) and Ga at (0.0000, 0.0000, 0.5000).

=====

5.
## Li3Mg4Ga (PBE)

Data for a relaxed structure of Li3Mg4Ga.

The formation energy from the elements is -0.038 eV per atom. As for the calculated density: 1.8 g cm⁻³. For the relative energy among the computed polymorphs, the calculation gives 0.62 eV per formula unit. As for the size of the total moment: 0.00 μB per formula unit. The calculation puts the total energy at -1.932 eV/atom.

The structure belongs to space group C2/m (No. 12); the cell edges are 24.4944, 4.4699 and 3.1652 Å and the angles 90.00°, 97.22° and 90.00°. The asymmetric unit holds Li at (0.0000, 0.0000, 0.0000), Li at (0.1524, 0.0000, 0.6498), Mg at (0.0922, 0.5000, 0.0886), Mg at (0.2174, 0.5000, 0.2180) and Ga at (0.0000, 0.5000, 0.5000).

=====

6.
## Li2Mg2Ga (PBE)

Data for a relaxed structure of Li2Mg2Ga.

The formation energy from the elements is -0.050 eV per atom. As for the calculated density: 2.4 g cm⁻³. For the relative energy among the computed polymorphs, the calculation gives 0.52 eV per formula unit. As for the size of the total moment: 0.00 μB per formula unit. The calculation puts the total energy at -2.059 eV/atom.

The structure belongs to space group P4/mbm (No. 127); the cell edges are 7.0124, 7.0124 and 3.7700 Å and the angles 90.00°, 90.00° and 90.00°. The asymmetric unit holds Li at (0.1363, 0.3637, 0.0000), Mg at (0.1676, 0.6676, 0.5000) and Ga at (0.0000, 0.0000, 0.0000).

=====

7.
## Li12Mg6Ga (PBE)

Data for a relaxed structure of Li12Mg6Ga.

The formation energy from the elements is -0.049 eV per atom. As for the calculated density: 1.3 g cm⁻³. As for the size of the total moment: 0.00 μB per formula unit. The calculation puts the total energy at -1.920 eV/atom.

The structure belongs to space group R-3 (No. 148, hexagonal axes); the cell edges are 10.5310, 10.5310 and 12.1093 Å and the angles 90.00°, 90.00° and 120.00°. The asymmetric unit holds Li at (0.0398, 0.8628, 0.3139), Li at (0.0604, 0.2031, 0.9072), Mg at (0.0293, 0.5954, 0.2094) and Ga at (0.0000, 0.0000, 0.5000).

=====

8.
## Li2Mg3Ga9 (PBE)

Data for a relaxed structure of Li2Mg3Ga9.

The formation energy from the elements is -0.161 eV per atom. As for the calculated density: 4.7 g cm⁻³. As for the size of the total moment: 0.00 μB per formula unit. The calculation puts the total energy at -2.722 eV/atom.

The structure belongs to space group Immm (No. 71); the cell edges are 4.3117, 9.7109 and 12.1729 Å and the angles 90.00°, 90.00° and 90.00°. The asymmetric unit holds Li at (0.0000, 0.1656, 0.0000), Mg at (0.0000, 0.0000, 0.2093), Mg at (0.0000, 0.0000, 0.5000), Ga at (0.0000, 0.2857, 0.3586), Ga at (0.0000, 0.3678, 0.1466) and Ga at (0.0000, 0.5000, 0.5000).

=====

9.
## LiMg4Ga4 (PBE)

Data for a relaxed structure of LiMg4Ga4.

The formation energy from the elements is -0.071 eV per atom. As for the calculated density: 3.4 g cm⁻³. As for the size of the total moment: 0.00 μB per formula unit. The calculation puts the total energy at -2.337 eV/atom.

The structure belongs to space group I4/m (No. 87); the cell edges are 8.5537, 8.5537 and 5.0540 Å and the angles 90.00°, 90.00° and 90.00°. The asymmetric unit holds Li at (0.0000, 0.0000, 0.0000), Mg at (0.1317, 0.7827, 0.5000) and Ga at (0.0506, 0.6434, 0.0000).

=====

10.
## Li2Mg2Ga7 (PBE)

Data for a relaxed structure of Li2Mg2Ga7.

The formation energy from the elements is -0.137 eV per atom. As for the calculated density: 4.4 g cm⁻³. For the relative energy among the computed polymorphs, the calculation gives 0.00 eV per formula unit. As for the size of the total moment: 0.00 μB per formula unit. The calculation puts the total energy at -2.701 eV/atom.

The structure belongs to space group C2/m (No. 12); the cell edges are 9.3623, 9.9499 and 5.3310 Å and the angles 90.00°, 123.96° and 90.00°. The asymmetric unit holds Li at (0.0000, 0.1500, 0.0000), Mg at (0.1326, 0.5000, 0.3554), Ga at (0.0000, 0.0000, 0.5000), Ga at (0.1766, 0.2442, 0.6748) and Ga at (0.2250, 0.5000, 0.9469).

=====

11.
## Li2MgGa2 (PBE)

Data for a relaxed structure of Li2MgGa2.

The formation energy from the elements is -0.222 eV per atom. As for the calculated density: 3.4 g cm⁻³. For the relative energy among the computed polymorphs, the calculation gives 0.00 eV per formula unit. As for the size of the total moment: 0.00 μB per formula unit. The calculation puts the total energy at -2.517 eV/atom.

The structure belongs to space group P4/mbm (No. 127); the cell edges are 7.5157, 7.5157 and 3.0946 Å and the angles 90.00°, 90.00° and 90.00°. The asymmetric unit holds Li at (0.1759, 0.3241, 0.0000), Mg at (0.0000, 0.0000, 0.5000) and Ga at (0.1229, 0.6229, 0.5000).

=====

12.
## LiMg4Ga2 (PBE)

Data for a relaxed structure of LiMg4Ga2.

The formation energy from the elements is -0.173 eV per atom. As for the calculated density: 2.9 g cm⁻³. For the relative energy among the computed polymorphs, the calculation gives 0.00 eV per formula unit. As for the size of the total moment: 0.00 μB per formula unit. The calculation puts the total energy at -2.222 eV/atom.

The structure belongs to space group R-3m (No. 166, hexagonal axes); the cell edges are 4.6469, 4.6469 and 22.6787 Å and the angles 90.00°, 90.00° and 120.00°. The asymmetric unit holds Li at (0.0000, 0.0000, 0.0000), Mg at (0.0000, 0.0000, 0.1291), Mg at (0.0000, 0.0000, 0.3811) and Ga at (0.0000, 0.0000, 0.2535).

=====

Number 1: Fermi-level density of states 2.68 states/eV/f.u.. Number 2: Fermi-level density of states 3.33 states/eV/f.u.. Number 3: Fermi-level density of states 6.39 states/eV/f.u.. Number 4: Fermi-level density of states 1.39 states/eV/f.u.. Number 5: Fermi-level density of states 2.51 states/eV/f.u.. Number 6: Fermi-level density of states 1.54 states/eV/f.u.. Number 7: Fermi-level density of states 8.14 states/eV/f.u.. Number 8: Fermi-level density of states 3.37 states/eV/f.u.. Number 9: Fermi-level density of states 4.20 states/eV/f.u.. Number 10: Fermi-level density of states 3.58 states/eV/f.u.. Number 11: Fermi-level density of states 1.82 states/eV/f.u.. Number 12: Fermi-level density of states 1.74 states/eV/f.u..